1.
A plane-wave DFT calculation with PBE was carried out for crystalline BeFe2Cu2 at its relaxed geometry.

## Properties
**Magnetic moment**: 8.7 μB/cell
**Space-group type**: P4/mbm, No. 127

CIF file:
```
data_BeFe2Cu2
_symmetry_space_group_name_H-M 'P 1'
_symmetry_Int_Tables_number 1
_cell_length_a 5.603
_cell_length_b 5.603
_cell_length_c 3.804
_cell_angle_alpha 90.00
_cell_angle_beta 90.00
_cell_angle_gamma 90.00
loop_
_symmetry_equiv_pos_as_xyz
'x,y,z'
loop_
_atom_site_label
_atom_site_type_symbol
_atom_site_fract_x
_atom_site_fract_y
_atom_site_fract_z
Be1 Be 0.500 0.500 0.000
Be2 Be 0.000 0.000 0.000
Fe1 Fe 0.858 0.642 0.000
Fe2 Fe 0.142 0.358 0.000
Fe3 Fe 0.358 0.858 0.000
Fe4 Fe 0.642 0.142 0.000
Cu1 Cu 0.662 0.838 0.500
Cu2 Cu 0.338 0.162 0.500
Cu3 Cu 0.162 0.662 0.500
Cu4 Cu 0.838 0.338 0.500
```

=====

2.
A plane-wave DFT calculation with PBE was carried out for crystalline BeFe2Cu at its relaxed geometry.

## Properties
**Magnetic moment**: 4.3 μB/cell
**Space-group type**: F-43m, No. 216

CIF file:
```
data_BeFe2Cu
_symmetry_space_group_name_H-M 'P 1'
_symmetry_Int_Tables_number 1
_cell_length_a 3.934
_cell_length_b 3.934
_cell_length_c 3.934
_cell_angle_alpha 60.00
_cell_angle_beta 60.00
_cell_angle_gamma 60.00
loop_
_symmetry_equiv_pos_as_xyz
'x,y,z'
loop_
_atom_site_label
_atom_site_type_symbol
_atom_site_fract_x
_atom_site_fract_y
_atom_site_fract_z
Cu1 Cu 0.750 0.750 0.750
Fe1 Fe 0.250 0.250 0.250
Fe2 Fe 0.000 0.000 0.000
Be1 Be 0.500 0.500 0.500
```

=====

3.
A plane-wave DFT calculation with PBE was carried out for crystalline BeFe2Cu at its relaxed geometry.

## Properties
**Magnetic moment**: 4.2 μB/cell
**Space-group type**: Pm, No. 6

CIF file:
```
data_BeFe2Cu
_symmetry_space_group_name_H-M 'P 1'
_symmetry_Int_Tables_number 1
_cell_length_a 3.863
_cell_length_b 2.462
_cell_length_c 4.556
_cell_angle_alpha 83.16
_cell_angle_beta 90.00
_cell_angle_gamma 90.00
loop_
_symmetry_equiv_pos_as_xyz
'x,y,z'
loop_
_atom_site_label
_atom_site_type_symbol
_atom_site_fract_x
_atom_site_fract_y
_atom_site_fract_z
Cu1 Cu 0.500 0.633 0.753
Fe1 Fe 0.500 0.229 0.273
Fe2 Fe 0.000 0.024 0.997
Be1 Be 0.000 0.613 0.477
```

=====

Calculated total energy for the records above, in order: -53.9; -24.5; -24.6 eV per cell